[1]
Computed, not measured: a relaxed structure of Er6ZnGa5 at the PBE level of DFT.

- Magnetic moment: 0.000 μB per atom
- N(E_F): 0.473 states/eV per atom
- Energy relative to the elements: -0.55 eV/atom

Cell and atoms, written as POSCAR:
```
Er6ZnGa5
1.0
0.549 -3.714 3.332
-2.692 -4.551 -4.629
7.190 -3.249 -0.987
Ga Er Zn
5 6 1
direct
0.000 0.500 0.000
0.667 0.500 0.666
0.337 0.000 0.327
0.333 0.500 0.334
0.663 0.000 0.673
0.833 0.751 0.333
0.167 0.751 0.667
0.833 0.249 0.333
0.167 0.249 0.667
0.500 0.250 0.000
0.500 0.750 0.000
0.000 0.000 0.000
```

[2]
Computed, not measured: a relaxed structure of Er5ZnGa4 at the PBE level of DFT.

- Magnetic moment: 0.000 μB per atom
- N(E_F): 0.577 states/eV per atom
- Energy relative to the elements: -0.53 eV/atom

Cell and atoms, written as POSCAR:
```
Er5ZnGa4
1.0
-2.976 -1.281 1.425
-1.276 -0.637 -3.239
7.140 -16.181 0.370
Er Ga Zn
5 4 1
direct
0.500 0.500 0.500
0.500 0.500 0.901
0.500 0.500 0.299
0.500 0.500 0.099
0.500 0.500 0.701
0.000 0.000 0.198
0.000 0.000 0.600
0.000 0.000 0.400
0.000 0.000 0.802
0.000 0.000 0.000
```

[3]
Computed, not measured: a relaxed structure of Er3Zn9Ga2 at the PBE level of DFT.

- Magnetic moment: 0.000 μB per atom
- N(E_F): 0.435 states/eV per atom
- Energy relative to the elements: -0.35 eV/atom

Cell and atoms, written as POSCAR:
```
Er3Zn9Ga2
1.0
-0.120 -2.560 3.414
-0.197 -7.519 -2.975
7.421 -3.171 0.552
Zn Ga Er
9 2 3
direct
0.341 0.290 0.027
0.659 0.973 0.710
0.000 0.500 0.500
0.858 0.865 0.420
0.142 0.580 0.135
0.659 0.710 0.973
0.142 0.135 0.580
0.341 0.027 0.290
0.858 0.420 0.865
0.500 0.696 0.304
0.500 0.304 0.696
0.698 0.302 0.302
0.000 0.000 0.000
0.302 0.698 0.698
```

[4]
Computed, not measured: a relaxed structure of ErZnGa at the PBE level of DFT.

- Magnetic moment: 0.074 μB per atom
- N(E_F): 0.528 states/eV per atom
- Energy relative to the elements: -0.30 eV/atom

Cell and atoms, written as POSCAR:
```
ErZnGa
1.0
3.334 0.000 0.000
0.000 3.334 0.000
-1.667 -1.667 5.423
Er Ga Zn
1 1 1
direct
0.998 0.998 0.997
0.685 0.685 0.370
0.317 0.317 0.633
```

Question: Which formula does entry 3 have?
Answer: Er3Zn9Ga2

Copy entry 3 word for word.
Computed, not measured: a relaxed structure of Er3Zn9Ga2 at the PBE level of DFT.

- Magnetic moment: 0.000 μB per atom
- N(E_F): 0.435 states/eV per atom
- Energy relative to the elements: -0.35 eV/atom

Cell and atoms, written as POSCAR:
```
Er3Zn9Ga2
1.0
-0.120 -2.560 3.414
-0.197 -7.519 -2.975
7.421 -3.171 0.552
Zn Ga Er
9 2 3
direct
0.341 0.290 0.027
0.659 0.973 0.710
0.000 0.500 0.500
0.858 0.865 0.420
0.142 0.580 0.135
0.659 0.710 0.973
0.142 0.135 0.580
0.341 0.027 0.290
0.858 0.420 0.865
0.500 0.696 0.304
0.500 0.304 0.696
0.698 0.302 0.302
0.000 0.000 0.000
0.302 0.698 0.698
```